Entry 1:
Compound: Sr2CaCdN
Source: Alexandria
Functional: GGA-PBE
Structure: optimized geometry

## Properties
SG: P4/mmm, No. 123

Unit cell a=5.3538 b=5.3538 c=4.9159 alpha=90.00 beta=90.00 gamma=90.00
Sites, in units of the cell vectors:
1 Sr 0.0000 0.5000 0.0000
2 Sr 0.5000 0.0000 0.0000
3 Ca 0.0000 0.0000 0.5000
4 Cd 0.5000 0.5000 0.5000
5 N 0.0000 0.0000 0.0000



Entry 2:
Compound: Ca2CdTcN
Source: Alexandria
Functional: GGA-PBE
Structure: optimized geometry

## Properties
SG: P4/mmm, No. 123
energy above the most stable polymorph in this dataset: 1613.8 meV/atom

Unit cell a=5.9067 b=5.9067 c=3.8816 alpha=90.00 beta=90.00 gamma=90.00
Sites, in units of the cell vectors:
1 Ca 0.0000 0.5000 0.0000
2 Ca 0.5000 0.0000 0.0000
3 Cd 0.0000 0.0000 0.0000
4 Tc 0.5000 0.5000 0.5000
5 N 0.0000 0.0000 0.5000



Entry 3:
Compound: Ca2CdTcN
Source: Alexandria
Functional: GGA-PBE
Structure: optimized geometry

## Properties
SG: P4/mmm, No. 123
energy above the most stable polymorph in this dataset: 0.0 meV/atom

Unit cell a=5.1005 b=5.1005 c=3.8941 alpha=90.00 beta=90.00 gamma=90.00
Sites, in units of the cell vectors:
1 Ca 0.0000 0.5000 0.0000
2 Ca 0.5000 0.0000 0.0000
3 Cd 0.0000 0.0000 0.5000
4 Tc 0.5000 0.5000 0.5000
5 N 0.5000 0.5000 0.0000



Entry 4:
Compound: Ca2CdTcN4
Source: Alexandria
Functional: GGA-PBE
Structure: optimized geometry

## Properties
SG: Pmn2_1, No. 31

Unit cell a=7.6137 b=6.2321 c=5.6846 alpha=90.00 beta=90.00 gamma=90.00
Sites, in units of the cell vectors:
1 Ca 0.2480 0.1906 0.0000
2 Ca 0.2520 0.8094 0.5000
3 Ca 0.7480 0.8094 0.5000
4 Ca 0.7520 0.1906 0.0000
5 Cd 0.0000 0.3164 0.4998
6 Cd 0.5000 0.6836 0.9998
7 Tc 0.0000 0.6800 0.0133
8 Tc 0.5000 0.3200 0.5133
9 N 0.0000 0.4030 0.8993
10 N 0.0000 0.6597 0.3352
11 N 0.2024 0.8221 0.9192
12 N 0.2976 0.1779 0.4192
13 N 0.5000 0.3403 0.8352
14 N 0.5000 0.5970 0.3993
15 N 0.7024 0.1779 0.4192
16 N 0.7976 0.8221 0.9192



Entry 5:
Compound: CaCdTe2N
Source: Alexandria
Functional: GGA-PBE
Structure: optimized geometry

## Properties
SG: P4/mmm, No. 123
energy above the most stable polymorph in this dataset: 0.0 meV/atom

Unit cell a=5.8150 b=5.8150 c=4.2317 alpha=90.00 beta=90.00 gamma=90.00
Sites, in units of the cell vectors:
1 Ca 0.0000 0.0000 0.0000
2 Cd 0.5000 0.5000 0.5000
3 Te 0.0000 0.5000 0.5000
4 Te 0.5000 0.0000 0.5000
5 N 0.5000 0.5000 0.0000



Entry 6:
Compound: CaCdTe2N
Source: Alexandria
Functional: GGA-PBE
Structure: optimized geometry

## Properties
SG: P4/mmm, No. 123
energy above the most stable polymorph in this dataset: 388.6 meV/atom

Unit cell a=5.9315 b=5.9315 c=4.2953 alpha=90.00 beta=90.00 gamma=90.00
Sites, in units of the cell vectors:
1 Ca 0.0000 0.0000 0.0000
2 Cd 0.5000 0.5000 0.5000
3 Te 0.0000 0.5000 0.0000
4 Te 0.5000 0.0000 0.0000
5 N 0.0000 0.0000 0.5000



no.,energy (eV/atom),raw formation energy (eV/atom)
1,-3.382,-0.461
2,-3.489,1.233
3,-5.102,-0.380
4,-6.501,-0.427
5,-3.231,0.274
6,-2.843,0.662